The following is a PBE calculation of crystalline BaAg2P2Pb at its relaxed geometry, from the Open Quantum Materials Database.

Cell lengths 4.4636, 4.4636, 8.5435 Å; angles 90.00, 90.00, 120.00 degrees
Element x y z (fractional)
Ba 0.0000 0.0000 0.0000
Ag 0.3333 0.6667 0.2840
Ag 0.6667 0.3333 0.7167
P 0.3333 0.6667 0.7451
P 0.6667 0.3333 0.2494
Pb 0.0000 0.0000 0.4991

The calculation puts the volume at 24.57 Å³/atom. As for the theoretical density: 7.0 Mg/m³. Its space-group type is P3m1, No. 156. The calculated total energy comes out at -4.015 eV per atom.